VASP calculation (PBE) on crystalline Ba2LaTl2 at its relaxed geometry.

Properties
Symmetry: No. 127
D(E_F) (states/eV per cell): 12.53
Polymorph energy (0 for the lowest one) (meV per atom): 0
Energy of formation (eV per formula unit): -1.05

Lattice parameters (Å, degrees): 9.474 9.474 4.580 90.00 90.00 90.00
Fractional positions:
Ba: 0.659 0.841 0.500
Tl: 0.361 0.861 0.000
Tl: 0.861 0.639 0.000
Ba: 0.159 0.659 0.500
Ba: 0.841 0.341 0.500
Tl: 0.639 0.139 0.000
La: 0.000 0.000 0.000
Ba: 0.341 0.159 0.500
La: 0.500 0.500 0.000
Tl: 0.139 0.361 0.000